Record 1
The following is a PBE calculation of an optimized crystal structure of NaCo6Ge6, from Alexandria via LeMat-Bulk.

Structure (POSCAR):
```
NaCo6Ge6
1.0
-2.5394 3.8721 4.3906
2.5394 -3.8721 4.3906
2.5394 3.8721 -4.3906
Na Co Ge
1 6 6
Cartesian
0.0000 0.0000 0.0000
1.2697 1.9360 -2.1953
1.2697 -1.9360 2.1953
2.5394 1.9717 0.0000
-1.2697 1.9360 2.1953
1.2697 1.9360 2.1953
0.0000 1.9004 4.3906
2.5394 0.0000 1.4518
0.0000 0.0000 2.9161
0.0000 2.6197 0.0000
0.0000 5.1245 0.0000
0.0000 0.0000 5.8651
0.0000 3.8721 2.9388
```

Summary:
E_tot: -74.28 eV/f.u.
Magnetization: 0.4 Bohr magnetons per cell
DFT formation energy: -2.621 eV per formula unit



Record 2
The following is a PBE calculation of an optimized crystal structure of SmPaOsAu, from Alexandria via LeMat-Bulk.

Structure (POSCAR):
```
SmPaOsAu
1.0
7.0876 0.0000 0.0000
0.0000 7.0876 0.0000
0.0000 0.0000 7.0876
Sm Pa Os Au
4 4 4 4
Cartesian
0.0000 0.0000 0.0000
0.0000 3.5438 3.5438
3.5438 0.0000 3.5438
3.5438 3.5438 0.0000
0.0000 0.0000 3.5438
0.0000 3.5438 0.0000
3.5438 0.0000 0.0000
3.5438 3.5438 3.5438
1.7719 1.7719 5.3157
1.7719 5.3157 1.7719
5.3157 1.7719 1.7719
5.3157 5.3157 5.3157
1.7719 1.7719 1.7719
1.7719 5.3157 5.3157
5.3157 1.7719 5.3157
5.3157 5.3157 1.7719
```

Summary:
E_tot: -29.64 eV/f.u.
Magnetization: 0.0 Bohr magnetons per cell
DFT formation energy: -0.918 eV per formula unit



Record 3
The following is a PBE calculation of an optimized crystal structure of YCuSb2, from Alexandria via LeMat-Bulk.

Structure (POSCAR):
```
YCuSb2
1.0
4.2628 0.0000 0.0000
-2.1314 3.6917 0.0000
0.0000 0.0000 19.1891
Y Cu Sb
3 3 6
Cartesian
0.0000 0.0000 0.0000
0.0000 2.4612 12.7928
2.1314 1.2306 6.3964
0.0000 0.0000 9.5946
0.0000 2.4612 3.1982
2.1314 1.2306 15.9909
0.0000 0.0000 4.5199
0.0000 0.0000 14.6692
0.0000 2.4612 8.2728
0.0000 2.4612 17.3127
2.1314 1.2306 1.8764
2.1314 1.2306 10.9163
```

Summary:
E_tot: -19.76 eV/f.u.
Magnetization: 0.0 Bohr magnetons per cell
Energy relative to the elements, uncorrected: -0.239 eV per atom
E above lowest polymorph: 383 meV/atom



> Which value of magnetization does entry 3 give?

0.0 Bohr magnetons per cell



> What is the E_tot in the first record?

-74.28 eV/f.u.